MgCu2 PBE optimized geometry; symmetry = P4/mmm (123); ΔH_f (0 K) = 2.6 eV per formula unit
1.0
3.514 0.000 0.000
0.000 3.514 0.000
0.000 0.000 4.976
Mg Cu
1 2
Cartesian
0.000 0.000 0.000
0.000 0.000 2.488
1.757 1.757 0.000



Li2As2P PBE optimized geometry; relative energy among the computed polymorphs = 0 kJ/mol of formula units; symmetry = C2/m (12); ΔH_f (0 K) = -1.0 eV per formula unit
1.0
6.170 -2.346 0.000
6.170 2.346 0.000
-5.811 0.000 7.498
Li As P
4 4 2
Cartesian
-0.484 0.000 2.329
-2.172 0.000 6.480
8.701 0.000 1.018
7.013 0.000 5.169
1.296 0.000 0.414
1.641 0.000 4.467
4.888 0.000 3.031
5.232 0.000 7.084
2.592 0.000 2.367
3.936 0.000 5.131